Material: ZnAgPd3
Method: DFT, PBE
State: optimized geometry

```
data_ZnAgPd3
_cell_length_a 5.297
_cell_length_b 4.923
_cell_length_c 6.489
_cell_angle_alpha 90.00
_cell_angle_beta 105.18
_cell_angle_gamma 90.00
_space_group_name_H-M_alt 'P 1'
_space_group_IT_number 1
_space_group_name_Hall 'P 1'
loop_
_atom_site_label
_atom_site_fract_x
_atom_site_fract_y
_atom_site_fract_z
Zn1 0.000 0.000 0.000
Zn2 0.000 0.500 0.000
Ag1 0.480 0.250 0.205
Ag2 0.520 0.750 0.795
Pd1 0.021 0.250 0.353
Pd2 0.260 0.250 0.769
Pd3 0.291 0.750 0.355
Pd4 0.709 0.250 0.645
Pd5 0.740 0.750 0.231
Pd6 0.979 0.750 0.647
```

Summary:
Total magnetic moment (μB/f.u.): 0.00
Crystal system: monoclinic
Volume (Å³/atom): 16.33
ΔE_f (eV/atom): -0.095
Electronic total energy (eV/atom): -4.0360